[1]
A plane-wave DFT calculation with PBE was carried out for an optimized crystal structure of Tm3Mg2Ag2.

Computed properties:
**E**: -3.330 eV per atom
**Energy above the most stable polymorph in this dataset**: 0 meV per atom

```
data_Tm3Mg2Ag2
_chemical_formula_sum 'Tm3 Mg2 Ag2'
_symmetry_space_group_name_H-M 'P 1'
_symmetry_Int_Tables_number 1
_symmetry_space_group_name_Hall 'P 1'
_cell_length_a 14.583
_cell_length_b 14.583
_cell_length_c 3.461
_cell_angle_alpha 90.00
_cell_angle_beta 90.00
_cell_angle_gamma 166.16
loop_
_atom_site_label
_atom_site_type_symbol
_atom_site_fract_x
_atom_site_fract_y
_atom_site_fract_z
Tm1 Tm 0.000 0.000 0.000
Tm2 Tm 0.128 0.872 0.000
Tm3 Tm 0.872 0.128 0.000
Mg1 Mg 0.294 0.706 0.500
Mg2 Mg 0.706 0.294 0.500
Ag1 Ag 0.436 0.564 0.500
Ag2 Ag 0.564 0.436 0.500
```

[2]
A plane-wave DFT calculation with PBE was carried out for an optimized crystal structure of Tm2Mg3Ag3.

Computed properties:
**E**: -2.843 eV per atom

```
data_Tm2Mg3Ag3
_chemical_formula_sum 'Tm2 Mg3 Ag3'
_symmetry_space_group_name_H-M 'P 1'
_symmetry_Int_Tables_number 1
_symmetry_space_group_name_Hall 'P 1'
_cell_length_a 8.197
_cell_length_b 8.197
_cell_length_c 3.112
_cell_angle_alpha 90.00
_cell_angle_beta 90.00
_cell_angle_gamma 120.00
loop_
_atom_site_label
_atom_site_type_symbol
_atom_site_fract_x
_atom_site_fract_y
_atom_site_fract_z
Tm1 Tm 0.333 0.667 0.000
Tm2 Tm 0.667 0.333 0.000
Mg1 Mg 0.000 0.226 0.000
Mg2 Mg 0.226 0.000 0.000
Mg3 Mg 0.774 0.774 0.000
Ag1 Ag 0.000 0.655 0.500
Ag2 Ag 0.345 0.345 0.500
Ag3 Ag 0.655 0.000 0.500
```

[3]
A plane-wave DFT calculation with PBE was carried out for an optimized crystal structure of TmMg2Ag.

Computed properties:
**E**: -2.741 eV per atom

```
data_TmMg2Ag
_chemical_formula_sum 'Tm1 Mg2 Ag1'
_symmetry_space_group_name_H-M 'P 1'
_symmetry_Int_Tables_number 1
_symmetry_space_group_name_Hall 'P 1'
_cell_length_a 4.315
_cell_length_b 4.315
_cell_length_c 4.903
_cell_angle_alpha 90.00
_cell_angle_beta 90.00
_cell_angle_gamma 90.00
loop_
_atom_site_label
_atom_site_type_symbol
_atom_site_fract_x
_atom_site_fract_y
_atom_site_fract_z
Tm1 Tm 0.000 0.000 0.000
Mg1 Mg 0.000 0.500 0.500
Mg2 Mg 0.500 0.000 0.500
Ag1 Ag 0.500 0.500 0.000
```

[4]
A plane-wave DFT calculation with PBE was carried out for an optimized crystal structure of Tm7MgAg4.

Computed properties:
**E**: -3.686 eV per atom

```
data_Tm7MgAg4
_chemical_formula_sum 'Tm7 Mg1 Ag4'
_symmetry_space_group_name_H-M 'P 1'
_symmetry_Int_Tables_number 1
_symmetry_space_group_name_Hall 'P 1'
_cell_length_a 7.630
_cell_length_b 7.630
_cell_length_c 9.235
_cell_angle_alpha 119.43
_cell_angle_beta 119.43
_cell_angle_gamma 42.50
loop_
_atom_site_label
_atom_site_type_symbol
_atom_site_fract_x
_atom_site_fract_y
_atom_site_fract_z
Tm1 Tm 0.000 0.000 0.000
Tm2 Tm 0.231 0.231 0.690
Tm3 Tm 0.311 0.311 0.123
Tm4 Tm 0.423 0.423 0.584
Tm5 Tm 0.577 0.577 0.416
Tm6 Tm 0.689 0.689 0.877
Tm7 Tm 0.769 0.769 0.310
Mg1 Mg 0.500 0.500 0.000
Ag1 Ag 0.036 0.036 0.705
Ag2 Ag 0.186 0.186 0.341
Ag3 Ag 0.814 0.814 0.659
Ag4 Ag 0.964 0.964 0.295
```

[5]
A plane-wave DFT calculation with PBE was carried out for an optimized crystal structure of TmMg3Ag4.

Computed properties:
**E**: -2.828 eV per atom

```
data_TmMg3Ag4
_chemical_formula_sum 'Tm1 Mg3 Ag4'
_symmetry_space_group_name_H-M 'P 1'
_symmetry_Int_Tables_number 1
_symmetry_space_group_name_Hall 'P 1'
_cell_length_a 4.800
_cell_length_b 4.800
_cell_length_c 6.900
_cell_angle_alpha 90.00
_cell_angle_beta 90.00
_cell_angle_gamma 90.00
loop_
_atom_site_label
_atom_site_type_symbol
_atom_site_fract_x
_atom_site_fract_y
_atom_site_fract_z
Tm1 Tm 0.000 0.000 0.000
Mg1 Mg 0.000 0.000 0.500
Mg2 Mg 0.500 0.500 0.000
Mg3 Mg 0.500 0.500 0.500
Ag1 Ag 0.000 0.500 0.264
Ag2 Ag 0.000 0.500 0.736
Ag3 Ag 0.500 0.000 0.264
Ag4 Ag 0.500 0.000 0.736
```

[6]
A plane-wave DFT calculation with PBE was carried out for an optimized crystal structure of TmMg4Ag5.

Computed properties:
**E**: -2.763 eV per atom

```
data_TmMg4Ag5
_chemical_formula_sum 'Tm1 Mg4 Ag5'
_symmetry_space_group_name_H-M 'P 1'
_symmetry_Int_Tables_number 1
_symmetry_space_group_name_Hall 'P 1'
_cell_length_a 3.409
_cell_length_b 3.409
_cell_length_c 16.770
_cell_angle_alpha 90.00
_cell_angle_beta 90.00
_cell_angle_gamma 90.00
loop_
_atom_site_label
_atom_site_type_symbol
_atom_site_fract_x
_atom_site_fract_y
_atom_site_fract_z
Tm1 Tm 0.000 0.000 0.000
Mg1 Mg 0.000 0.000 0.210
Mg2 Mg 0.000 0.000 0.404
Mg3 Mg 0.000 0.000 0.596
Mg4 Mg 0.000 0.000 0.790
Ag1 Ag 0.500 0.500 0.115
Ag2 Ag 0.500 0.500 0.308
Ag3 Ag 0.500 0.500 0.500
Ag4 Ag 0.500 0.500 0.692
Ag5 Ag 0.500 0.500 0.885
```

[7]
A plane-wave DFT calculation with PBE was carried out for an optimized crystal structure of TmMg2Ag.

Computed properties:
**E**: -2.790 eV per atom

```
data_TmMg2Ag
_chemical_formula_sum 'Tm2 Mg4 Ag2'
_symmetry_space_group_name_H-M 'P 1'
_symmetry_Int_Tables_number 1
_symmetry_space_group_name_Hall 'P 1'
_cell_length_a 9.075
_cell_length_b 9.075
_cell_length_c 9.075
_cell_angle_alpha 150.16
_cell_angle_beta 150.16
_cell_angle_gamma 42.70
loop_
_atom_site_label
_atom_site_type_symbol
_atom_site_fract_x
_atom_site_fract_y
_atom_site_fract_z
Tm1 Tm 0.139 0.139 0.000
Tm2 Tm 0.861 0.861 0.000
Mg1 Mg 0.000 0.500 0.500
Mg2 Mg 0.360 0.360 0.000
Mg3 Mg 0.500 0.000 0.500
Mg4 Mg 0.640 0.640 0.000
Ag1 Ag 0.250 0.750 0.500
Ag2 Ag 0.750 0.250 0.500
```

[8]
A plane-wave DFT calculation with PBE was carried out for an optimized crystal structure of TmMg5Ag.

Computed properties:
**E**: -2.254 eV per atom

```
data_TmMg5Ag
_chemical_formula_sum 'Tm1 Mg5 Ag1'
_symmetry_space_group_name_H-M 'P 1'
_symmetry_Int_Tables_number 1
_symmetry_space_group_name_Hall 'P 1'
_cell_length_a 4.662
_cell_length_b 4.662
_cell_length_c 7.706
_cell_angle_alpha 90.00
_cell_angle_beta 90.00
_cell_angle_gamma 90.00
loop_
_atom_site_label
_atom_site_type_symbol
_atom_site_fract_x
_atom_site_fract_y
_atom_site_fract_z
Tm1 Tm 0.000 0.000 0.000
Mg1 Mg 0.000 0.500 0.295
Mg2 Mg 0.000 0.500 0.705
Mg3 Mg 0.500 0.000 0.295
Mg4 Mg 0.500 0.000 0.705
Mg5 Mg 0.500 0.500 0.000
Ag1 Ag 0.000 0.000 0.500
```

[9]
A plane-wave DFT calculation with PBE was carried out for an optimized crystal structure of TmMg2Ag.

Computed properties:
**E**: -2.818 eV per atom

```
data_TmMg2Ag
_chemical_formula_sum 'Tm2 Mg4 Ag2'
_symmetry_space_group_name_H-M 'P 1'
_symmetry_Int_Tables_number 1
_symmetry_space_group_name_Hall 'P 1'
_cell_length_a 4.404
_cell_length_b 8.138
_cell_length_c 5.597
_cell_angle_alpha 90.00
_cell_angle_beta 113.04
_cell_angle_gamma 90.00
loop_
_atom_site_label
_atom_site_type_symbol
_atom_site_fract_x
_atom_site_fract_y
_atom_site_fract_z
Tm1 Tm 0.060 0.250 0.120
Tm2 Tm 0.940 0.750 0.880
Mg1 Mg 0.358 0.055 0.714
Mg2 Mg 0.358 0.445 0.714
Mg3 Mg 0.642 0.555 0.286
Mg4 Mg 0.642 0.945 0.286
Ag1 Ag 0.229 0.750 0.461
Ag2 Ag 0.771 0.250 0.539
```

[10]
A plane-wave DFT calculation with PBE was carried out for an optimized crystal structure of TmMg2Ag.

Computed properties:
**E**: -2.790 eV per atom

```
data_TmMg2Ag
_chemical_formula_sum 'Tm1 Mg2 Ag1'
_symmetry_space_group_name_H-M 'P 1'
_symmetry_Int_Tables_number 1
_symmetry_space_group_name_Hall 'P 1'
_cell_length_a 4.998
_cell_length_b 4.998
_cell_length_c 4.998
_cell_angle_alpha 59.85
_cell_angle_beta 59.85
_cell_angle_gamma 59.85
loop_
_atom_site_label
_atom_site_type_symbol
_atom_site_fract_x
_atom_site_fract_y
_atom_site_fract_z
Tm1 Tm 0.000 0.000 0.000
Mg1 Mg 0.501 0.501 0.501
Mg2 Mg 0.751 0.751 0.751
Ag1 Ag 0.250 0.250 0.250
```

[11]
A plane-wave DFT calculation with PBE was carried out for an optimized crystal structure of TmMgAg.

Computed properties:
**E**: -3.018 eV per atom

```
data_TmMgAg
_chemical_formula_sum 'Tm1 Mg1 Ag1'
_symmetry_space_group_name_H-M 'P 1'
_symmetry_Int_Tables_number 1
_symmetry_space_group_name_Hall 'P 1'
_cell_length_a 4.283
_cell_length_b 4.283
_cell_length_c 4.283
_cell_angle_alpha 75.82
_cell_angle_beta 75.82
_cell_angle_gamma 75.82
loop_
_atom_site_label
_atom_site_type_symbol
_atom_site_fract_x
_atom_site_fract_y
_atom_site_fract_z
Tm1 Tm 0.000 0.000 0.000
Mg1 Mg 0.394 0.394 0.394
Ag1 Ag 0.686 0.686 0.686
```

[12]
A plane-wave DFT calculation with PBE was carried out for an optimized crystal structure of TmMgAg.

Computed properties:
**E**: -3.156 eV per atom

```
data_TmMgAg
_chemical_formula_sum 'Tm1 Mg1 Ag1'
_symmetry_space_group_name_H-M 'P 1'
_symmetry_Int_Tables_number 1
_symmetry_space_group_name_Hall 'P 1'
_cell_length_a 6.289
_cell_length_b 6.289
_cell_length_c 6.289
_cell_angle_alpha 148.19
_cell_angle_beta 148.19
_cell_angle_gamma 45.61
loop_
_atom_site_label
_atom_site_type_symbol
_atom_site_fract_x
_atom_site_fract_y
_atom_site_fract_z
Tm1 Tm 0.000 0.000 0.000
Mg1 Mg 0.701 0.701 0.000
Ag1 Ag 0.337 0.337 0.000
```